Record 1
Density functional theory data (PBE) for an optimized crystal structure of HoNiAu.

POSCAR file:
```
HoNiAu
1.0
-1.777 1.777 4.455
1.777 -1.777 4.455
1.777 1.777 -4.455
Ho Ni Au
1 1 1
direct
0.000 0.000 0.000
0.340 0.340 0.000
0.677 0.677 0.000
```

Values from the calculation:
Mass density ... 12414 kg/m³
Energy relative to the elements ... -1.5 eV/f.u.
SG ... I4mm, No. 107
Calculated volume ... 56.26 Å³/cell

=====

Record 2
Density functional theory data (PBE) for an optimized crystal structure of Ho3Ni2Au.

POSCAR file:
```
Ho3Ni2Au
1.0
3.972 0.000 0.000
0.000 9.099 0.000
0.000 0.000 7.156
Ho Ni Au
6 4 2
direct
0.000 0.073 0.000
0.000 0.927 0.500
0.500 0.233 0.366
0.500 0.381 0.827
0.500 0.619 0.327
0.500 0.767 0.866
0.000 0.222 0.641
0.000 0.778 0.141
0.500 0.070 0.721
0.500 0.930 0.221
0.000 0.416 0.138
0.000 0.584 0.638
```

Values from the calculation:
Mass density ... 10390 kg/m³
Energy relative to the elements ... -3.2 eV/f.u.
SG ... Pmc2_1, No. 26
Calculated volume ... 258.64 Å³/cell

=====

Record 3
Density functional theory data (PBE) for an optimized crystal structure of HoPaNiAu.

POSCAR file:
```
HoPaNiAu
1.0
0.000 3.502 3.502
3.502 0.000 3.502
3.502 3.502 0.000
Ho Pa Ni Au
1 1 1 1
direct
0.000 0.000 0.000
0.500 0.500 0.500
0.250 0.250 0.250
0.750 0.750 0.750
```

Values from the calculation:
Mass density ... 12592 kg/m³
Energy relative to the elements ... -1.1 eV/f.u.
SG ... F-43m, No. 216
Calculated volume ... 85.93 Å³/cell

=====

Record 4
Density functional theory data (PBE) for an optimized crystal structure of HoNiPdAu.

POSCAR file:
```
HoNiPdAu
1.0
0.000 3.268 3.268
3.268 0.000 3.268
3.268 3.268 0.000
Ho Ni Pd Au
1 1 1 1
direct
0.000 0.000 0.000
0.250 0.250 0.250
0.750 0.750 0.750
0.500 0.500 0.500
```

Values from the calculation:
Mass density ... 12540 kg/m³
Energy relative to the elements ... -2.1 eV/f.u.
SG ... F-43m, No. 216
Calculated volume ... 69.78 Å³/cell

=====

Record 5
Density functional theory data (PBE) for an optimized crystal structure of Ho3Si6Ni2Au.

POSCAR file:
```
Ho3Si6Ni2Au
1.0
5.601 0.000 0.000
-2.800 4.850 0.000
0.000 0.000 8.149
Ho Si Ni Au
3 6 2 1
direct
0.000 0.000 0.000
0.333 0.667 0.598
0.667 0.333 0.402
0.189 0.377 0.267
0.189 0.811 0.267
0.377 0.189 0.733
0.623 0.811 0.267
0.811 0.189 0.733
0.811 0.623 0.733
0.333 0.667 0.037
0.667 0.333 0.963
0.000 0.000 0.500
```

Values from the calculation:
Mass density ... 7333 kg/m³
Energy relative to the elements, uncorrected ... -0.273 eV/atom
SG ... P-3m1, No. 164
Calculated volume ... 221.38 Å³/cell

=====

Record 6
Density functional theory data (PBE) for an optimized crystal structure of Ho2Si4Ni3Au.

POSCAR file:
```
Ho2Si4Ni3Au
1.0
4.019 0.000 0.000
0.000 4.019 0.000
0.000 0.000 9.687
Ho Si Ni Au
2 4 3 1
direct
0.000 0.500 0.240
0.500 0.000 0.760
0.000 0.000 0.000
0.000 0.500 0.648
0.500 0.000 0.352
0.500 0.500 0.000
0.000 0.500 0.882
0.500 0.000 0.118
0.500 0.500 0.500
0.000 0.000 0.500
```

Values from the calculation:
Mass density ... 8654 kg/m³
Energy relative to the elements, uncorrected ... -0.776 eV/atom
SG ... P-4m2, No. 115
Calculated volume ... 156.43 Å³/cell

=====

Record 7
Density functional theory data (PBE) for an optimized crystal structure of SmHoNiAu.

POSCAR file:
```
SmHoNiAu
1.0
4.582 0.000 0.000
0.000 1.908 5.219
0.000 -1.908 5.219
Sm Ho Ni Au
1 1 1 1
direct
0.000 0.000 0.000
0.500 0.281 0.281
0.000 0.725 0.725
0.500 0.566 0.566
```

Values from the calculation:
Mass density ... 10387 kg/m³
Energy relative to the elements ... -2.4 eV/f.u.
SG ... Amm2, No. 38
Calculated volume ... 91.28 Å³/cell

=====

Record 8
Density functional theory data (PBE) for an optimized crystal structure of TbHoNiAu.

POSCAR file:
```
TbHoNiAu
1.0
0.000 3.504 3.504
3.504 0.000 3.504
3.504 3.504 0.000
Tb Ho Ni Au
1 1 1 1
direct
0.000 0.000 0.000
0.500 0.500 0.500
0.750 0.750 0.750
0.250 0.250 0.250
```

Values from the calculation:
Energy relative to the lowest polymorph listed for this composition ... 20.5 kJ/mol of formula units
Mass density ... 11182 kg/m³
Energy relative to the elements ... -2.4 eV/f.u.
SG ... F-43m, No. 216
Calculated volume ... 86.06 Å³/cell

=====

Record 9
Density functional theory data (PBE) for an optimized crystal structure of TbHoNiAu.

POSCAR file:
```
TbHoNiAu
1.0
4.530 0.000 0.000
0.000 1.882 5.215
0.000 -1.882 5.215
Tb Ho Ni Au
1 1 1 1
direct
0.000 0.000 0.000
0.500 0.720 0.720
0.000 0.276 0.276
0.500 0.436 0.436
```

Values from the calculation:
Energy relative to the lowest polymorph listed for this composition ... 0.0 kJ/mol of formula units
Mass density ... 10825 kg/m³
Energy relative to the elements ... -2.6 eV/f.u.
SG ... Amm2, No. 38
Calculated volume ... 88.90 Å³/cell

=====

Record 10
Density functional theory data (PBE) for an optimized crystal structure of HoThNiAu.

POSCAR file:
```
HoThNiAu
1.0
4.240 0.000 0.000
0.000 1.914 5.719
0.000 -1.914 5.719
Ho Th Ni Au
1 1 1 1
direct
0.000 0.000 0.000
0.500 0.278 0.278
0.000 0.745 0.745
0.500 0.564 0.564
```

Values from the calculation:
Energy relative to the lowest polymorph listed for this composition ... 0.0 kJ/mol of formula units
Mass density ... 11675 kg/m³
Energy relative to the elements ... -2.5 eV/f.u.
SG ... Amm2, No. 38
Calculated volume ... 92.83 Å³/cell

=====

Record 11
Density functional theory data (PBE) for an optimized crystal structure of HoThNiAu.

POSCAR file:
```
HoThNiAu
1.0
0.000 3.572 3.572
3.572 0.000 3.572
3.572 3.572 0.000
Ho Th Ni Au
1 1 1 1
direct
0.000 0.000 0.000
0.500 0.500 0.500
0.750 0.750 0.750
0.250 0.250 0.250
```

Values from the calculation:
Energy relative to the lowest polymorph listed for this composition ... 58.6 kJ/mol of formula units
Mass density ... 11891 kg/m³
Energy relative to the elements ... -1.9 eV/f.u.
SG ... F-43m, No. 216
Calculated volume ... 91.14 Å³/cell

=====

Record 12
Density functional theory data (PBE) for an optimized crystal structure of HoTmNiAu.

POSCAR file:
```
HoTmNiAu
1.0
0.000 3.470 3.470
3.470 0.000 3.470
3.470 3.470 0.000
Ho Tm Ni Au
1 1 1 1
direct
0.000 0.000 0.000
0.500 0.500 0.500
0.250 0.250 0.250
0.750 0.750 0.750
```

Values from the calculation:
Energy relative to the lowest polymorph listed for this composition ... 18.1 kJ/mol of formula units
Mass density ... 11711 kg/m³
Energy relative to the elements ... -2.5 eV/f.u.
SG ... F-43m, No. 216
Calculated volume ... 83.59 Å³/cell

=====

Record 13
Density functional theory data (PBE) for an optimized crystal structure of HoTmNiAu.

POSCAR file:
```
HoTmNiAu
1.0
4.469 0.000 0.000
0.000 1.852 5.224
0.000 -1.852 5.224
Ho Tm Ni Au
1 1 1 1
direct
0.000 0.000 0.000
0.500 0.720 0.720
0.500 0.444 0.444
0.000 0.281 0.281
```

Values from the calculation:
Energy relative to the lowest polymorph listed for this composition ... 0.0 kJ/mol of formula units
Mass density ... 11318 kg/m³
Energy relative to the elements ... -2.7 eV/f.u.
SG ... Amm2, No. 38
Calculated volume ... 86.50 Å³/cell

=====

Record 14
Density functional theory data (PBE) for an optimized crystal structure of YHoNiAu.

POSCAR file:
```
YHoNiAu
1.0
4.519 0.000 0.000
0.000 1.880 5.226
0.000 -1.880 5.226
Y Ho Ni Au
1 1 1 1
direct
0.000 0.000 0.000
0.500 0.719 0.719
0.000 0.276 0.276
0.500 0.436 0.436
```

Values from the calculation:
Energy relative to the lowest polymorph listed for this composition ... 0.0 kJ/mol of formula units
Mass density ... 9529 kg/m³
Energy relative to the elements ... -2.6 eV/f.u.
SG ... Amm2, No. 38
Calculated volume ... 88.79 Å³/cell

=====

Record 15
Density functional theory data (PBE) for an optimized crystal structure of YHoNiAu.

POSCAR file:
```
YHoNiAu
1.0
0.000 3.502 3.502
3.502 0.000 3.502
3.502 3.502 0.000
Y Ho Ni Au
1 1 1 1
direct
0.000 0.000 0.000
0.500 0.500 0.500
0.250 0.250 0.250
0.750 0.750 0.750
```

Values from the calculation:
Energy relative to the lowest polymorph listed for this composition ... 20.2 kJ/mol of formula units
Mass density ... 9853 kg/m³
Energy relative to the elements ... -2.4 eV/f.u.
SG ... F-43m, No. 216
Calculated volume ... 85.87 Å³/cell

=====

Record 16
Density functional theory data (PBE) for an optimized crystal structure of HoZnNiAu.

POSCAR file:
```
HoZnNiAu
1.0
0.000 3.291 3.291
3.291 0.000 3.291
3.291 3.291 0.000
Ho Zn Ni Au
1 1 1 1
direct
0.000 0.000 0.000
0.500 0.500 0.500
0.750 0.750 0.750
0.250 0.250 0.250
```

Values from the calculation:
Mass density ... 11317 kg/m³
Energy relative to the elements ... -1.6 eV/f.u.
SG ... F-43m, No. 216
Calculated volume ... 71.31 Å³/cell

=====

Record 17
Density functional theory data (PBE) for an optimized crystal structure of Ho3AuO6.

POSCAR file:
```
Ho3AuO6
1.0
4.525 -5.563 0.000
4.525 5.563 0.000
0.000 0.000 5.550
Ho Au O
6 2 12
direct
0.101 0.899 0.500
0.164 0.405 0.448
0.405 0.164 0.948
0.595 0.836 0.448
0.836 0.595 0.948
0.899 0.101 0.000
0.368 0.632 0.942
0.632 0.368 0.442
0.086 0.609 0.718
0.140 0.175 0.721
0.175 0.140 0.221
0.284 0.716 0.262
0.391 0.914 0.718
0.463 0.537 0.619
0.537 0.463 0.119
0.609 0.086 0.218
0.716 0.284 0.762
0.825 0.860 0.721
0.860 0.825 0.221
0.914 0.391 0.218
```

Values from the calculation:
Mass density ... 9364 kg/m³
Energy relative to the elements, uncorrected ... -2.619 eV/atom
SG ... Cmc2_1, No. 36
Calculated volume ... 279.38 Å³/cell

=====

Record 18
Density functional theory data (PBE) for an optimized crystal structure of Ho4Au2O.

POSCAR file:
```
Ho4Au2O
1.0
6.764 0.000 0.000
0.000 6.881 0.000
-2.074 0.000 7.291
Ho Au O
8 4 2
direct
0.005 0.007 0.250
0.005 0.493 0.250
0.405 0.250 0.593
0.427 0.250 0.117
0.573 0.750 0.883
0.595 0.750 0.407
0.995 0.507 0.750
0.995 0.993 0.750
0.229 0.750 0.549
0.243 0.750 0.068
0.757 0.250 0.932
0.771 0.250 0.451
0.230 0.250 0.304
0.770 0.750 0.696
```

Values from the calculation:
Energy relative to the lowest polymorph listed for this composition ... 0.0 kJ/mol of formula units
Mass density ... 10467 kg/m³
Energy relative to the elements, uncorrected ... -1.336 eV/atom
SG ... P2_1/m, No. 11
Calculated volume ... 339.39 Å³/cell

=====

Record 19
Density functional theory data (PBE) for an optimized crystal structure of HoAuO3.

POSCAR file:
```
HoAuO3
1.0
1.951 -6.041 0.000
1.951 6.041 0.000
0.000 0.000 5.837
Ho Au O
2 2 6
direct
0.196 0.804 0.750
0.804 0.196 0.250
0.472 0.528 0.750
0.528 0.472 0.250
0.003 0.997 0.750
0.333 0.667 0.022
0.333 0.667 0.478
0.667 0.333 0.522
0.667 0.333 0.978
0.997 0.003 0.250
```

Values from the calculation:
Mass density ... 9892 kg/m³
Energy relative to the elements, uncorrected ... -1.531 eV/atom
SG ... Cmcm, No. 63
Calculated volume ... 137.61 Å³/cell

=====

Record 20
Density functional theory data (PBE) for an optimized crystal structure of Ho2Au2O7.

POSCAR file:
```
Ho2Au2O7
1.0
0.000 5.230 5.230
5.230 0.000 5.230
5.230 5.230 0.000
Ho Au O
4 4 14
direct
0.000 0.000 0.000
0.000 0.000 0.500
0.000 0.500 0.000
0.500 0.000 0.000
0.000 0.500 0.500
0.500 0.000 0.500
0.500 0.500 0.000
0.500 0.500 0.500
0.125 0.125 0.125
0.153 0.153 0.597
0.153 0.597 0.153
0.153 0.597 0.597
0.403 0.403 0.847
0.403 0.847 0.403
0.403 0.847 0.847
0.597 0.153 0.153
0.597 0.153 0.597
0.597 0.597 0.153
0.847 0.403 0.403
0.847 0.403 0.847
0.847 0.847 0.403
0.875 0.875 0.875
```

Values from the calculation:
Mass density ... 9699 kg/m³
Energy relative to the elements, uncorrected ... -1.582 eV/atom
SG ... Fd-3m, No. 227
Calculated volume ... 286.19 Å³/cell

=====

Record 21
Density functional theory data (PBE) for an optimized crystal structure of Ho4Au2O.

POSCAR file:
```
Ho4Au2O
1.0
-2.317 2.317 7.378
2.317 -2.317 7.378
2.317 2.317 -7.378
Ho Au O
4 2 1
direct
0.000 0.500 0.500
0.181 0.181 0.000
0.500 0.000 0.500
0.819 0.819 0.000
0.370 0.370 0.000
0.630 0.630 0.000
0.000 0.000 0.000
```

Values from the calculation:
Energy relative to the lowest polymorph listed for this composition ... 13.3 kJ/mol of formula units
Mass density ... 11208 kg/m³
Energy relative to the elements, uncorrected ... -1.316 eV/atom
SG ... I4/mmm, No. 139
Calculated volume ... 158.48 Å³/cell

=====

Record 22
Density functional theory data (PBE) for an optimized crystal structure of HoAuO3.

POSCAR file:
```
HoAuO3
1.0
3.807 0.000 0.000
0.000 12.940 0.000
0.000 0.000 5.571
Ho Au O
4 4 12
direct
0.239 0.074 0.250
0.239 0.426 0.750
0.761 0.574 0.250
0.761 0.926 0.750
0.440 0.669 0.750
0.440 0.831 0.250
0.560 0.169 0.750
0.560 0.331 0.250
0.243 0.574 0.002
0.243 0.574 0.498
0.243 0.926 0.502
0.243 0.926 0.998
0.293 0.250 0.000
0.293 0.250 0.500
0.707 0.750 0.000
0.707 0.750 0.500
0.757 0.074 0.002
0.757 0.074 0.498
0.757 0.426 0.502
0.757 0.426 0.998
```

Values from the calculation:
Mass density ... 9919 kg/m³
Energy relative to the elements, uncorrected ... -1.861 eV/atom
SG ... Pbcm, No. 57
Calculated volume ... 274.48 Å³/cell

=====

Record 23
Density functional theory data (PBE) for an optimized crystal structure of PmHoAu2O8.

POSCAR file:
```
PmHoAu2O8
1.0
-2.684 2.684 5.283
2.684 -2.684 5.283
2.684 2.684 -5.283
Pm Ho Au O
1 1 2 8
direct
0.000 0.000 0.000
0.750 0.250 0.500
0.250 0.750 0.500
0.500 0.500 0.000
0.143 0.129 0.527
0.143 0.616 0.014
0.384 0.397 0.527
0.384 0.857 0.986
0.603 0.129 0.986
0.603 0.616 0.473
0.871 0.397 0.014
0.871 0.857 0.473
```

Values from the calculation:
Mass density ... 9071 kg/m³
Energy relative to the elements, uncorrected ... -1.068 eV/atom
SG ... I-4m2, No. 119
Calculated volume ... 152.28 Å³/cell

=====

Record 24
Density functional theory data (PBE) for an optimized crystal structure of RbHo2Au2O6.

POSCAR file:
```
RbHo2Au2O6
1.0
6.207 0.000 0.000
3.096 6.068 0.000
2.471 -0.180 6.460
Rb Ho Au O
1 2 2 6
direct
0.000 0.000 0.000
0.319 0.362 0.999
0.681 0.638 0.001
0.222 0.558 0.501
0.778 0.442 0.499
0.085 0.572 0.812
0.340 0.578 0.191
0.491 0.997 0.895
0.509 0.003 0.105
0.660 0.422 0.809
0.915 0.428 0.188
```

Values from the calculation:
Mass density ... 6179 kg/m³
Energy relative to the elements, uncorrected ... -1.766 eV/atom
SG ... P-1, No. 2
Calculated volume ... 243.27 Å³/cell

=====

The calculation returns the following density of states at the Fermi level values, one per record and in order: 2.4 8.8 6.6 1.4 5.8 5.0 2.4 3.0 2.2 2.7 4.2 3.2 2.1 2.2 3.1 3.0 6.9 14.7 4.4 12.5 8.5 0.0 6.8 9.5 states/eV/cell.